# CaPrNbVO6

An optimized crystal structure of CaPrNbVO6 (PBE+U, the Alexandria database).

Computed properties:
total DFT energy (no corrections) = -80.3 eV per cell
size of the total moment = 2.91 Bohr magnetons per cell
crystal system = cubic
DOS at the Fermi energy = 1.82 states/eV/cell

CIF file:
```
data_CaPrNbVO6
_space_group_name_H-M_alt 'P 1'
_space_group_IT_number 1
_cell_length_a 5.6785
_cell_length_b 5.6785
_cell_length_c 5.6785
_cell_angle_alpha 60.00
_cell_angle_beta 60.00
_cell_angle_gamma 60.00
loop_
_space_group_symop_operation_xyz
'x,y,z'
loop_
_atom_site_label
_atom_site_type_symbol
_atom_site_fract_x
_atom_site_fract_y
_atom_site_fract_z
_atom_site_occupancy
Nb1 Nb 0.0000 0.0000 0.0000 1
O1 O 0.2482 0.2482 0.7518 1
O2 O 0.2482 0.7518 0.2482 1
O3 O 0.7518 0.7518 0.2482 1
O4 O 0.7518 0.2482 0.2482 1
O5 O 0.2482 0.7518 0.7518 1
O6 O 0.7518 0.2482 0.7518 1
Ca1 Ca 0.7500 0.7500 0.7500 1
V1 V 0.5000 0.5000 0.5000 1
Pr1 Pr 0.2500 0.2500 0.2500 1
```